(1)
Entry from Alexandria via LeMat-Bulk: CaZn4Cu2Au after structural relaxation (PBE).

Calculated values
ΔE_f	-0.13	eV/atom
total magnetic moment	0.0	μB/f.u.
space group	R-3m (166)
V	17.666	Å³/atom

abc: 4.237 4.237 9.412
angles: 76.99 76.99 60.00
Sites, in units of the cell vectors:
Au (0.500, 0.500, 0.500)
Cu (0.753, 0.753, 0.742)
Cu (0.247, 0.247, 0.258)
Zn (0.597, 0.597, 0.210)
Zn (0.878, 0.878, 0.366)
Zn (0.122, 0.122, 0.634)
Zn (0.403, 0.403, 0.790)
Ca (0.000, 0.000, 0.000)

=====

(2)
Entry from Alexandria via LeMat-Bulk: CaZrCuAu after structural relaxation (PBE).

Calculated values
ΔE_f	-0.24	eV/atom
total magnetic moment	0.0	μB/f.u.
space group	F-43m (216)
V	20.666	Å³/atom

abc: 4.890 4.890 4.890
angles: 60.00 60.00 60.00
Sites, in units of the cell vectors:
Cu (0.250, 0.250, 0.250)
Au (0.750, 0.750, 0.750)
Ca (0.500, 0.500, 0.500)
Zr (0.000, 0.000, 0.000)

=====

(3)
Entry from Alexandria via LeMat-Bulk: CaDyAu after structural relaxation (PBE).

Calculated values
ΔE_f	-0.54	eV/atom
energy above the lowest structure with this stoichiometry	0.00	eV/f.u.
total magnetic moment	0.0	μB/f.u.
space group	I4mm (107)
V	28.598	Å³/atom

abc: 3.653 3.653 6.928
angles: 105.29 105.29 90.00
Sites, in units of the cell vectors:
Dy (0.296, 0.296, 0.592)
Au (0.679, 0.679, 0.358)
Ca (0.025, 0.025, 0.050)

=====

(4)
Entry from Alexandria via LeMat-Bulk: CaDyAu6 after structural relaxation (PBE).

Calculated values
ΔE_f	-0.61	eV/atom
total magnetic moment	0.0	μB/f.u.
space group	C2/m (12)
V	20.349	Å³/atom

abc: 4.442 5.172 8.168
angles: 80.42 74.22 64.57
Sites, in units of the cell vectors:
Au (0.247, 0.877, 0.629)
Au (0.497, 0.757, 0.248)
Au (0.750, 0.623, 0.877)
Au (0.250, 0.377, 0.123)
Au (0.503, 0.243, 0.752)
Au (0.753, 0.123, 0.371)
Ca (0.000, 0.500, 0.500)
Dy (0.000, 0.000, 0.000)

=====

(5)
Entry from Alexandria via LeMat-Bulk: CaDy3Au2 after structural relaxation (PBE).

Calculated values
ΔE_f	-0.62	eV/atom
total magnetic moment	0.0	μB/f.u.
space group	Pmc2_1 (26)
V	26.983	Å³/atom

abc: 4.941 7.335 8.934
angles: 90.00 90.00 90.00
Sites, in units of the cell vectors:
Dy (0.500, 0.649, 0.171)
Dy (0.000, 0.852, 0.677)
Dy (0.000, 0.482, 0.926)
Dy (0.500, 0.149, 0.829)
Dy (0.000, 0.982, 0.074)
Dy (0.000, 0.352, 0.323)
Au (0.500, 0.752, 0.856)
Au (0.000, 0.746, 0.348)
Au (0.500, 0.252, 0.144)
Au (0.000, 0.246, 0.652)
Ca (0.500, 0.019, 0.427)
Ca (0.500, 0.519, 0.573)

=====

(6)
Entry from Alexandria via LeMat-Bulk: Ca2DyAu after structural relaxation (PBE).

Calculated values
ΔE_f	-0.31	eV/atom
energy above the lowest structure with this stoichiometry	0.00	eV/f.u.
total magnetic moment	0.1	μB/f.u.
space group	P4/mmm (123)
V	30.186	Å³/atom

abc: 3.563 3.563 9.514
angles: 90.00 90.00 90.00
Each line ends with the local moment (μB).
Sites, in units of the cell vectors:
Ca (0.000, 0.000, 0.806)  0.00
Ca (0.000, 0.000, 0.194)  0.00
Au (0.500, 0.500, 0.000)  0.00
Dy (0.500, 0.500, 0.500)  0.06

=====

(7)
Entry from Alexandria via LeMat-Bulk: Ca2DyAu after structural relaxation (PBE).

Calculated values
ΔE_f	-0.08	eV/atom
energy above the lowest structure with this stoichiometry	0.90	eV/f.u.
total magnetic moment	0.4	μB/f.u.
space group	R-3m (166)
V	33.450	Å³/atom

abc: 3.729 3.729 11.315
angles: 80.51 80.51 60.00
Each line ends with the local moment (μB).
Sites, in units of the cell vectors:
Ca (0.105, 0.105, 0.684)  0.01
Ca (0.895, 0.895, 0.316)  0.01
Dy (0.000, 0.000, 0.000)  0.19
Au (0.500, 0.500, 0.500)  0.00

=====

(8)
Entry from Alexandria via LeMat-Bulk: Ca3DyAu4 after structural relaxation (PBE).

Calculated values
ΔE_f	-0.81	eV/atom
total magnetic moment	0.0	μB/f.u.
space group	P4/mmm (123)
V	23.987	Å³/atom

abc: 3.632 3.632 14.545
angles: 90.00 90.00 90.00
Sites, in units of the cell vectors:
Dy (0.500, 0.500, 0.000)
Au (0.000, 0.000, 0.625)
Au (0.000, 0.000, 0.375)
Au (0.000, 0.000, 0.886)
Au (0.000, 0.000, 0.114)
Ca (0.500, 0.500, 0.500)
Ca (0.500, 0.500, 0.751)
Ca (0.500, 0.500, 0.249)

=====

(9)
Entry from Alexandria via LeMat-Bulk: CaDyAu after structural relaxation (PBE).

Calculated values
ΔE_f	-0.36	eV/atom
energy above the lowest structure with this stoichiometry	0.53	eV/f.u.
total magnetic moment	0.0	μB/f.u.
space group	P3m1 (156)
V	29.491	Å³/atom

abc: 4.299 4.875 4.875
angles: 120.00 90.00 90.00
Sites, in units of the cell vectors:
Dy (0.120, 0.000, 0.000)
Ca (0.627, 0.667, 0.333)
Au (0.252, 0.333, 0.667)

=====

(10)
Entry from Alexandria via LeMat-Bulk: CaDy2Au2 after structural relaxation (PBE).

Calculated values
ΔE_f	-0.70	eV/atom
total magnetic moment	0.0	μB/f.u.
space group	P4/mbm (127)
V	25.986	Å³/atom

abc: 3.790 8.280 8.280
angles: 90.00 90.00 90.00
Sites, in units of the cell vectors:
Ca (0.500, 0.000, 0.500)
Ca (0.500, 0.500, 0.000)
Au (0.500, 0.137, 0.863)
Au (0.500, 0.637, 0.637)
Au (0.500, 0.363, 0.363)
Au (0.500, 0.863, 0.137)
Dy (0.000, 0.155, 0.155)
Dy (0.000, 0.655, 0.345)
Dy (0.000, 0.845, 0.845)
Dy (0.000, 0.345, 0.655)

=====

(11)
Entry from Alexandria via LeMat-Bulk: Ca2DyAu4 after structural relaxation (PBE).

Calculated values
ΔE_f	-0.66	eV/atom
total magnetic moment	0.0	μB/f.u.
space group	I4/mmm (139)
V	25.309	Å³/atom

abc: 5.175 5.175 7.561
angles: 110.01 110.01 90.00
Sites, in units of the cell vectors:
Au (0.886, 0.386, 0.772)
Au (0.614, 0.114, 0.228)
Au (0.386, 0.886, 0.772)
Au (0.114, 0.614, 0.228)
Ca (0.727, 0.727, 0.454)
Ca (0.273, 0.273, 0.546)
Dy (0.000, 0.000, 0.000)

=====

(12)
Entry from Alexandria via LeMat-Bulk: CaDy2Au4 after structural relaxation (PBE).

Calculated values
ΔE_f	-0.63	eV/atom
total magnetic moment	0.0	μB/f.u.
space group	I4/mmm (139)
V	25.146	Å³/atom

abc: 6.115 6.115 6.115
angles: 109.70 109.36 109.36
Sites, in units of the cell vectors:
Au (0.500, 0.000, 0.000)
Au (0.500, 0.500, 0.500)
Au (0.000, 0.500, 0.000)
Au (0.000, 0.000, 0.500)
Dy (0.500, 0.500, 0.000)
Dy (0.500, 0.000, 0.500)
Ca (0.000, 0.000, 0.000)